VASP calculation (PBE-GGA) on KPbCl2F after structural relaxation.

- Energy relative to the lowest polymorph listed for this composition: 0.000 eV per atom
- E_tot: -3.906 eV/atom

Cell: 4.254 13.722 9.338 Å, 90.00 90.00 90.00°
Space group Cmcm (No. 63)
Unique sites:
K 0.000 0.213 0.250 [4 per cell]
Pb 0.000 0.500 0.000 [4 per cell]
Cl 0.000 0.140 0.562 [8 per cell]
F 0.000 0.430 0.750 [4 per cell]



VASP calculation (PBE-GGA) on KZnBiTe3 after structural relaxation.

- E_tot: -3.168 eV/atom

Cell: 9.984 4.460 10.382 Å, 90.00 106.26 90.00°
Space group P2_1/m (No. 11)
Unique sites:
K 0.195 0.250 0.239 [2 per cell]
Zn 0.081 0.250 0.604 [2 per cell]
Bi 0.334 0.750 0.866 [2 per cell]
Te 0.111 0.250 0.868 [2 per cell]
Te 0.201 0.750 0.528 [2 per cell]
Te 0.451 0.750 0.167 [2 per cell]



VASP calculation (PBE-GGA) on Tb4Ho5Er2 after structural relaxation.

- E_form: 62 kJ/mol of formula units
- Energy relative to the lowest polymorph listed for this composition: 0.000 eV per atom
- E_tot: -4.536 eV/atom

Cell: 21.328 3.623 9.154 Å, 90.00 102.56 90.00°
Space group C2/m (No. 12)
Unique sites:
Tb 0.027 0.000 0.201 [4 per cell]
Tb 0.172 0.500 0.417 [4 per cell]
Ho 0.000 0.500 0.500 [2 per cell]
Ho 0.118 0.000 0.697 [4 per cell]
Ho 0.249 0.000 0.169 [4 per cell]
Er 0.114 0.500 0.005 [4 per cell]